Material: Pr6DyTl4
Method: DFT, PBE
State: relaxed

POSCAR file:
```
Pr6DyTl4
1.0
9.259 -1.725 -2.538
-5.811 7.412 2.538
-5.811 -0.365 7.826
Pr Dy Tl
6 1 4
Direct
0.000 0.915 0.442 Pr
0.000 0.442 0.915 Pr
0.527 0.085 0.085 Pr
0.500 0.000 0.500 Pr
0.473 0.558 0.558 Pr
0.500 0.500 0.000 Pr
0.000 0.000 0.000 Dy
0.000 0.108 0.625 Tl
0.483 0.375 0.375 Tl
0.000 0.625 0.108 Tl
0.517 0.892 0.892 Tl
```

Computed properties:
- D(E_F) (states/eV/f.u.) = 10.87
- E_form (meV per atom) = -174
- E (eV for the cell shown) = -44.65